Tl2ReO: optimized geometry, PBE-GGA.

```
Tl2ReO
1.0
-1.940 -3.917 1.875
0.506 -0.918 4.639
-3.739 0.361 2.917
Re Tl O
1 2 1
Direct
0.500 0.500 0.500
0.250 0.250 0.250
0.750 0.750 0.750
0.000 0.000 0.000
```

## Properties
- Energy relative to the elements, uncorrected: 1112 meV/atom
- Energy: -4.422 eV per atom
- Energy above the most stable polymorph in this dataset: 294 meV/atom